1.
VASP calculation (PBE) on a geometry-optimized RbNiN3 structure.

The structure in POSCAR format:
```
RbNiN3
1.0
3.9273 0.0000 0.0000
0.0000 3.9273 0.0000
0.0000 0.0000 3.9273
N Rb Ni
3 1 1
Cartesian
1.9636 0.0000 0.0000
0.0000 1.9636 0.0000
0.0000 0.0000 1.9636
1.9636 1.9636 1.9636
0.0000 0.0000 0.0000
```

Results
DOS(E_F) = 9.928 states/eV/f.u.
formation energy without anion corrections = 1.791 eV per atom
total moment = 0.00 μB per formula unit
volume = 12.115 A^3/atom


2.
VASP calculation (PBE) on a geometry-optimized RbNiSeN2 structure.

The structure in POSCAR format:
```
RbNiSeN2
1.0
-0.4780 -3.7289 3.3360
4.6550 -1.5602 -1.0769
2.4018 3.9111 4.7158
N Rb Se Ni
2 1 1 1
Cartesian
-0.2390 -1.8645 1.6680
2.3275 -0.7801 -0.5384
0.0000 0.0000 0.0000
1.2009 1.9555 2.3579
3.2894 -0.6890 3.4875
```

Results
DOS(E_F) = 7.155 states/eV/f.u.
formation energy without anion corrections = 2.642 eV per atom
distance to the lowest polymorph of the same formula = 1.356 eV/atom
total moment = 7.02 μB per formula unit
volume = 33.248 A^3/atom


3.
VASP calculation (PBE) on a geometry-optimized RbNiSeN2 structure.

The structure in POSCAR format:
```
RbNiSeN2
1.0
-3.0004 1.4256 -2.3725
-2.5711 -2.7312 1.6104
-1.2386 3.2363 3.5110
N Ni Se Rb
2 1 1 1
Cartesian
-1.2855 -1.3656 0.8052
-1.5002 0.7128 -1.1863
0.0000 0.0000 0.0000
-0.6193 1.6181 1.7555
-3.4051 0.9653 1.3745
```

Results
DOS(E_F) = 5.721 states/eV/f.u.
formation energy without anion corrections = 1.286 eV per atom
distance to the lowest polymorph of the same formula = 0.000 eV/atom
total moment = 0.00 μB per formula unit
volume = 16.440 A^3/atom


4.
VASP calculation (PBE) on a geometry-optimized RbSiNi2N structure.

The structure in POSCAR format:
```
RbSiNi2N
1.0
3.9283 0.0000 0.0000
0.0000 5.3469 0.0000
0.0000 0.0000 3.9283
Ni Rb N Si
2 1 1 1
Cartesian
1.9642 0.0000 0.0000
0.0000 0.0000 1.9642
0.0000 2.6734 0.0000
0.0000 0.0000 0.0000
1.9642 2.6734 1.9642
```

Results
DOS(E_F) = 4.343 states/eV/f.u.
formation energy without anion corrections = 0.994 eV per atom
total moment = 1.40 μB per formula unit
volume = 16.502 A^3/atom


5.
VASP calculation (PBE) on a geometry-optimized RbNiTeN2 structure.

The structure in POSCAR format:
```
RbNiTeN2
1.0
5.0636 0.0000 0.0000
0.0000 5.0636 0.0000
0.0000 0.0000 5.7274
Te Rb N Ni
1 1 2 1
Cartesian
0.0000 0.0000 2.8637
0.0000 0.0000 0.0000
0.0000 2.5318 0.0000
2.5318 0.0000 0.0000
2.5318 2.5318 2.8637
```

Results
DOS(E_F) = 14.505 states/eV/f.u.
formation energy without anion corrections = 3.179 eV per atom
distance to the lowest polymorph of the same formula = 1.704 eV/atom
total moment = 1.41 μB per formula unit
volume = 29.371 A^3/atom


6.
VASP calculation (PBE) on a geometry-optimized RbNiTeN2 structure.

The structure in POSCAR format:
```
RbNiTeN2
1.0
-0.3717 -3.3706 -2.5676
-1.2689 -2.3706 3.2957
-4.8158 1.2555 -0.9510
Ni Te N Rb
1 1 2 1
Cartesian
0.0000 0.0000 0.0000
-2.4079 0.6278 -0.4755
-0.1858 -1.6853 -1.2838
-0.6344 -1.1853 1.6478
-3.2282 -2.2428 -0.1115
```

Results
DOS(E_F) = 6.034 states/eV/f.u.
formation energy without anion corrections = 1.475 eV per atom
distance to the lowest polymorph of the same formula = 0.000 eV/atom
total moment = 0.05 μB per formula unit
volume = 18.333 A^3/atom


7.
VASP calculation (PBE) on a geometry-optimized RbZnNiN2 structure.

The structure in POSCAR format:
```
RbZnNiN2
1.0
-2.5364 3.0009 0.8952
-3.2957 -3.0476 0.8784
1.1728 -0.1579 3.8522
Rb N Zn Ni
1 2 1 1
Cartesian
-2.3297 -0.1023 2.8129
0.5864 -0.0790 1.9261
-1.2682 1.5004 0.4476
-1.6479 -1.5238 0.4392
0.0000 0.0000 0.0000
```

Results
DOS(E_F) = 6.329 states/eV/f.u.
formation energy without anion corrections = 1.177 eV per atom
total moment = 0.01 μB per formula unit
volume = 14.856 A^3/atom


8.
VASP calculation (PBE) on a geometry-optimized Rb2ZrNiN structure.

The structure in POSCAR format:
```
Rb2ZrNiN
1.0
-5.0344 1.4066 -4.1767
-1.2300 -4.3191 0.0280
-4.0082 1.1753 5.2271
Rb Ni N Zr
2 1 1 1
Cartesian
-2.0041 0.5876 2.6135
-2.5172 0.7033 -2.0884
-0.6150 -2.1595 0.0140
-5.1363 -0.8686 0.5392
0.0000 0.0000 0.0000
```

Results
DOS(E_F) = 13.574 states/eV/f.u.
formation energy without anion corrections = 1.983 eV per atom
total moment = 1.04 μB per formula unit
volume = 40.211 A^3/atom


9.
VASP calculation (PBE) on a geometry-optimized ReNi3N structure.

The structure in POSCAR format:
```
ReNi3N
1.0
4.4602 0.0000 0.0000
0.0000 4.4602 0.0000
0.0000 0.0000 4.4602
N Ni Re
1 3 1
Cartesian
2.2301 2.2301 2.2301
2.2301 0.0000 0.0000
0.0000 2.2301 0.0000
0.0000 0.0000 2.2301
0.0000 0.0000 0.0000
```

Results
DOS(E_F) = 7.827 states/eV/f.u.
formation energy without anion corrections = 2.548 eV per atom
distance to the lowest polymorph of the same formula = 2.067 eV/atom
total moment = 0.00 μB per formula unit
volume = 17.746 A^3/atom


10.
VASP calculation (PBE) on a geometry-optimized ReNiN3 structure.

The structure in POSCAR format:
```
ReNiN3
1.0
3.5998 0.0000 0.0000
0.0000 3.5998 0.0000
0.0000 0.0000 3.5998
Re N Ni
1 3 1
Cartesian
1.7999 1.7999 1.7999
0.0000 0.0000 1.7999
1.7999 0.0000 0.0000
0.0000 1.7999 0.0000
0.0000 0.0000 0.0000
```

Results
DOS(E_F) = 3.364 states/eV/f.u.
formation energy without anion corrections = 1.785 eV per atom
total moment = 0.74 μB per formula unit
volume = 9.330 A^3/atom


11.
VASP calculation (PBE) on a geometry-optimized Re3NiN structure.

The structure in POSCAR format:
```
Re3NiN
1.0
4.0088 0.0000 0.0000
0.0000 4.0088 0.0000
0.0000 0.0000 4.0088
Re Ni N
3 1 1
Cartesian
0.0000 2.0044 0.0000
0.0000 0.0000 2.0044
2.0044 0.0000 0.0000
2.0044 2.0044 2.0044
0.0000 0.0000 0.0000
```

Results
DOS(E_F) = 2.682 states/eV/f.u.
formation energy without anion corrections = 0.318 eV per atom
distance to the lowest polymorph of the same formula = 0.000 eV/atom
total moment = 0.00 μB per formula unit
volume = 12.885 A^3/atom


12.
VASP calculation (PBE) on a geometry-optimized ReNi2N2 structure.

The structure in POSCAR format:
```
ReNi2N2
1.0
2.7287 0.0000 0.0000
0.0000 2.7287 0.0000
1.3643 1.3643 6.7803
Ni Re N
2 1 2
Cartesian
1.3643 1.3643 1.8106
2.7287 2.7287 4.9696
0.0000 0.0000 0.0000
1.3643 2.7287 3.3901
2.7287 1.3643 3.3901
```

Results
DOS(E_F) = 3.756 states/eV/f.u.
formation energy without anion corrections = 1.138 eV per atom
distance to the lowest polymorph of the same formula = 0.000 eV/atom
total moment = 0.00 μB per formula unit
volume = 10.097 A^3/atom